Below is crystalline Y2ZrTl at its relaxed geometry, with properties calculated at the PBE-GGA level.

Output
space-group type: I4/mmm
calculated volume: 26.48 Å³/atom
total magnetization: 0.00 μB per formula unit
energy relative to the elements: -0.0702 eV/atom
energy relative to the lowest polymorph listed for this composition: 0.064 eV per atom

```
Y2ZrTl
1.0
4.6643 0.0000 0.0000
0.0000 4.6643 0.0000
0.0000 0.0000 9.7391
Y Zr Tl
4 2 2
Cartesian
0.0000 2.3321 2.4348
0.0000 2.3321 7.3043
2.3321 0.0000 2.4348
2.3321 0.0000 7.3043
0.0000 0.0000 0.0000
2.3321 2.3321 4.8696
0.0000 0.0000 4.8696
2.3321 2.3321 0.0000
```